Material: SiNiPS2
Method: DFT, PBE
State: optimized geometry

The symmetry is P4/mmm. For the excess energy over the best structure of this formula in the dataset, the calculation gives 0 meV per atom. The calculation puts the uncorrected formation energy at 616 meV/atom. As for the density of states at the Fermi level: 0.65 states/eV per atom. The uncorrected energy comes out at -4.36 eV/atom.

a = 4.6832 Å, b = 4.6832 Å, c = 4.1023 Å
α = 90.00°, β = 90.00°, γ = 90.00°
Last column: nearest neighbours and their distance in Å.
Fractional coordinates of all 5 atoms:
Si 0.0000 0.0000 0.0000  8 S 3.11, 4 P 3.31
Ni 0.5000 0.5000 0.5000  2 P 2.05
P 0.5000 0.5000 0.0000  2 Ni 2.05
S 0.0000 0.5000 0.5000  2 Ni 2.34
S 0.5000 0.0000 0.5000  2 Ni 2.34